1.
Computed, not measured: an optimized crystal structure of KAcZnSb at the PBE level of DFT.

a b c (Å): 5.6933 5.6933 5.6933
angles (deg): 60.00 60.00 60.00
Fractional coordinates of all 4 atoms:
K (0.0000, 0.0000, 0.0000)
Ac (0.5000, 0.5000, 0.5000)
Zn (0.7500, 0.7500, 0.7500)
Sb (0.2500, 0.2500, 0.2500)

Results
- calculated density (Mg/m³) = 5.77
- E_form (uncorrected) (eV per formula unit) = -1.4
- SG = F-43m, No. 216
- energy (eV per atom) = -2.989
- DOS at the Fermi energy (states/eV/atom) = 0.81

---

2.
Computed, not measured: an optimized crystal structure of K2AcScSe4 at the PBE level of DFT.

a b c (Å): 7.4705 4.3094 8.0869
angles (deg): 90.00 107.82 90.00
Fractional coordinates of all 8 atoms:
K (0.0000, 0.0000, 0.0000)
K (0.5000, 0.5000, 0.0000)
Ac (0.0000, 0.5000, 0.5000)
Sc (0.5000, 0.0000, 0.5000)
Se (0.2672, 0.0000, 0.7111)
Se (0.2915, 0.5000, 0.3008)
Se (0.7085, 0.5000, 0.6992)
Se (0.7328, 0.0000, 0.2889)

Results
- calculated density (Mg/m³) = 4.46
- E_form (uncorrected) (eV per formula unit) = -13.3
- SG = P2/m, No. 10
- energy (eV per atom) = -4.990
- DOS at the Fermi energy (states/eV/atom) = 0.00

---

3.
Computed, not measured: an optimized crystal structure of K3Ac3ScSe8 at the PBE level of DFT.

a b c (Å): 8.9210 8.9210 9.3376
angles (deg): 118.58 118.58 59.94
Fractional coordinates of all 15 atoms:
K (0.0000, 0.0000, 0.0000)
K (0.0000, 0.5000, 0.0000)
K (0.5000, 0.0000, 0.0000)
Ac (0.0000, 0.5000, 0.5000)
Ac (0.5000, 0.0000, 0.5000)
Ac (0.5000, 0.5000, 0.5000)
Sc (0.0000, 0.0000, 0.5000)
Se (0.2165, 0.2165, 0.6984)
Se (0.2164, 0.7656, 0.6985)
Se (0.2344, 0.7836, 0.3015)
Se (0.2594, 0.2594, 0.2780)
Se (0.7406, 0.7406, 0.7220)
Se (0.7656, 0.2164, 0.6985)
Se (0.7836, 0.2344, 0.3015)
Se (0.7835, 0.7835, 0.3016)

Results
- calculated density (Mg/m³) = 4.57
- E_form (uncorrected) (eV per formula unit) = -24.8
- SG = C2/m, No. 12
- energy (eV per atom) = -4.972
- DOS at the Fermi energy (states/eV/atom) = 1.20

---

4.
Computed, not measured: an optimized crystal structure of K3Ac2ScTe6 at the PBE level of DFT.

a b c (Å): 8.1085 8.1085 8.6908
angles (deg): 99.03 99.03 120.03
Fractional coordinates of all 12 atoms:
K (0.0000, 0.0000, 0.0000)
K (0.3280, 0.6720, 0.0000)
K (0.6720, 0.3280, 0.0000)
Ac (0.1660, 0.8340, 0.5000)
Ac (0.8340, 0.1660, 0.5000)
Sc (0.5000, 0.5000, 0.5000)
Te (0.1236, 0.4291, 0.2869)
Te (0.2676, 0.2676, 0.7133)
Te (0.4291, 0.1236, 0.2869)
Te (0.5709, 0.8764, 0.7131)
Te (0.7324, 0.7324, 0.2867)
Te (0.8764, 0.5709, 0.7131)

Results
- calculated density (Mg/m³) = 4.89
- E_form (uncorrected) (eV per formula unit) = -16.7
- SG = C2/m, No. 12
- energy (eV per atom) = -4.448
- DOS at the Fermi energy (states/eV/atom) = 0.00

---

5.
Computed, not measured: an optimized crystal structure of KAcSe2 at the PBE level of DFT.

a b c (Å): 8.1616 8.1616 8.1616
angles (deg): 32.63 32.63 32.63
Fractional coordinates of all 4 atoms:
K (0.0000, 0.0000, 0.0000)
Ac (0.5000, 0.5000, 0.5000)
Se (0.2393, 0.2393, 0.2393)
Se (0.7607, 0.7607, 0.7607)

Results
- calculated density (Mg/m³) = 5.01
- E_form (uncorrected) (eV per formula unit) = -7.3
- SG = R-3m, No. 166
- energy (eV per atom) = -4.860
- DOS at the Fermi energy (states/eV/atom) = 0.00

---

6.
Computed, not measured: an optimized crystal structure of KAc6Se8 at the PBE level of DFT.

a b c (Å): 12.2576 12.2576 4.5454
angles (deg): 90.00 90.00 120.00
Fractional coordinates of all 15 atoms:
K (0.0000, 0.0000, 0.0000)
Ac (0.1430, 0.4747, 0.2526)
Ac (0.3318, 0.8570, 0.2526)
Ac (0.4747, 0.3318, 0.7474)
Ac (0.5253, 0.6682, 0.2526)
Ac (0.6682, 0.1430, 0.7474)
Ac (0.8570, 0.5253, 0.7474)
Se (0.0453, 0.6719, 0.2465)
Se (0.3281, 0.3734, 0.2465)
Se (0.3333, 0.6667, 0.7525)
Se (0.3734, 0.0453, 0.7535)
Se (0.6266, 0.9547, 0.2465)
Se (0.6667, 0.3333, 0.2475)
Se (0.6719, 0.6266, 0.7535)
Se (0.9547, 0.3281, 0.7535)

Results
- calculated density (Mg/m³) = 5.71
- E_form (uncorrected) (eV per formula unit) = -26.0
- SG = P-3, No. 147
- energy (eV per atom) = -5.308
- DOS at the Fermi energy (states/eV/atom) = 0.60

---

7.
Computed, not measured: an optimized crystal structure of KAc2Se at the PBE level of DFT.

a b c (Å): 12.4483 12.4483 12.4483
angles (deg): 19.59 19.59 19.59
Fractional coordinates of all 4 atoms:
K (0.0000, 0.0000, 0.0000)
Ac (0.1144, 0.1144, 0.1144)
Ac (0.8856, 0.8856, 0.8856)
Se (0.5000, 0.5000, 0.5000)

Results
- calculated density (Mg/m³) = 5.01
- E_form (uncorrected) (eV per formula unit) = -2.6
- SG = R-3m, No. 166
- energy (eV per atom) = -3.849
- DOS at the Fermi energy (states/eV/atom) = 0.97

---

8.
Computed, not measured: an optimized crystal structure of KAcSe2 at the PBE level of DFT.

a b c (Å): 8.3943 8.3943 8.3943
angles (deg): 31.42 31.42 31.42
Fractional coordinates of all 4 atoms:
K (0.0000, 0.0000, 0.0000)
Ac (0.1706, 0.1706, 0.1706)
Se (0.5757, 0.5757, 0.5757)
Se (0.7657, 0.7657, 0.7657)

Results
- calculated density (Mg/m³) = 4.93
- E_form (uncorrected) (eV per formula unit) = -7.1
- SG = R3m, No. 160
- energy (eV per atom) = -4.825
- DOS at the Fermi energy (states/eV/atom) = 0.00

---

- What is the calculated density in the seventh record?
  5.01 Mg/m³

---

- Number 7 is which compound?
  KAc2Se